Record 1
# TaPdNF2, optimized geometry, DFT PBE
data_TaPdNF2
_cell_length_a 4.0570
_cell_length_b 4.0570
_cell_length_c 4.1671
_cell_angle_alpha 90.00
_cell_angle_beta 90.00
_cell_angle_gamma 90.00
_space_group_name_H-M_alt 'P 4/m m m'
_space_group_IT_number 123
_space_group_name_Hall '-P 4 2'
loop_
_atom_site_label
_atom_site_type_symbol
_atom_site_fract_x
_atom_site_fract_y
_atom_site_fract_z
_atom_site_occupancy
Ta1 Ta 0.0000 0.0000 0.0000 1
Pd1 Pd 0.5000 0.5000 0.5000 1
N1 N 0.5000 0.5000 0.0000 1
F1 F 0.0000 0.5000 0.5000 1
# Energy relative to the lowest polymorph listed for this composition, meV/atom: 1546.0
# Formation energy without anion corrections, eV per formula unit: 2.49
# Crystal system: tetragonal


Record 2
# TcPdN2F, optimized geometry, DFT PBE
data_TcPdN2F
_cell_length_a 4.0004
_cell_length_b 4.0004
_cell_length_c 4.0588
_cell_angle_alpha 90.00
_cell_angle_beta 90.00
_cell_angle_gamma 90.00
_space_group_name_H-M_alt 'P 4/m m m'
_space_group_IT_number 123
_space_group_name_Hall '-P 4 2'
loop_
_atom_site_label
_atom_site_type_symbol
_atom_site_fract_x
_atom_site_fract_y
_atom_site_fract_z
_atom_site_occupancy
Tc1 Tc 0.0000 0.0000 0.0000 1
Pd1 Pd 0.5000 0.5000 0.5000 1
N1 N 0.0000 0.5000 0.5000 1
F1 F 0.5000 0.5000 0.0000 1
# Energy relative to the lowest polymorph listed for this composition, meV/atom: 979.9
# Formation energy without anion corrections, eV per formula unit: 6.53
# Crystal system: tetragonal


Record 3
# TcPdN2F, optimized geometry, DFT PBE
data_TcPdN2F
_cell_length_a 3.8816
_cell_length_b 3.8816
_cell_length_c 4.0713
_cell_angle_alpha 90.00
_cell_angle_beta 90.00
_cell_angle_gamma 90.00
_space_group_name_H-M_alt 'P 4/m m m'
_space_group_IT_number 123
_space_group_name_Hall '-P 4 2'
loop_
_atom_site_label
_atom_site_type_symbol
_atom_site_fract_x
_atom_site_fract_y
_atom_site_fract_z
_atom_site_occupancy
Tc1 Tc 0.0000 0.0000 0.0000 1
Pd1 Pd 0.5000 0.5000 0.5000 1
N1 N 0.0000 0.5000 0.0000 1
F1 F 0.0000 0.0000 0.5000 1
# Energy relative to the lowest polymorph listed for this composition, meV/atom: 0.0
# Formation energy without anion corrections, eV per formula unit: 1.63
# Crystal system: tetragonal


Record 4
# TePdN2F, optimized geometry, DFT PBE
data_TePdN2F
_cell_length_a 4.0802
_cell_length_b 4.0802
_cell_length_c 4.2006
_cell_angle_alpha 90.00
_cell_angle_beta 90.00
_cell_angle_gamma 90.00
_space_group_name_H-M_alt 'P 4/m m m'
_space_group_IT_number 123
_space_group_name_Hall '-P 4 2'
loop_
_atom_site_label
_atom_site_type_symbol
_atom_site_fract_x
_atom_site_fract_y
_atom_site_fract_z
_atom_site_occupancy
Te1 Te 0.0000 0.0000 0.0000 1
Pd1 Pd 0.5000 0.5000 0.5000 1
N1 N 0.0000 0.5000 0.0000 1
F1 F 0.0000 0.0000 0.5000 1
# Energy relative to the lowest polymorph listed for this composition, meV/atom: 47.6
# Formation energy without anion corrections, eV per formula unit: 5.04
# Crystal system: tetragonal


Record 5
# TePdN2F, optimized geometry, DFT PBE
data_TePdN2F
_cell_length_a 3.9036
_cell_length_b 3.9036
_cell_length_c 5.7897
_cell_angle_alpha 90.00
_cell_angle_beta 90.00
_cell_angle_gamma 90.00
_space_group_name_H-M_alt 'P 4/m m m'
_space_group_IT_number 123
_space_group_name_Hall '-P 4 2'
loop_
_atom_site_label
_atom_site_type_symbol
_atom_site_fract_x
_atom_site_fract_y
_atom_site_fract_z
_atom_site_occupancy
Te1 Te 0.0000 0.0000 0.0000 1
Pd1 Pd 0.0000 0.0000 0.5000 1
N1 N 0.0000 0.5000 0.5000 1
F1 F 0.5000 0.5000 0.0000 1
# Energy relative to the lowest polymorph listed for this composition, meV/atom: 144.7
# Formation energy without anion corrections, eV per formula unit: 5.53
# Crystal system: tetragonal


Record 6
# TePdN2F, optimized geometry, DFT PBE
data_TePdN2F
_cell_length_a 4.2226
_cell_length_b 4.2226
_cell_length_c 4.2014
_cell_angle_alpha 90.00
_cell_angle_beta 90.00
_cell_angle_gamma 90.00
_space_group_name_H-M_alt 'P 4/m m m'
_space_group_IT_number 123
_space_group_name_Hall '-P 4 2'
loop_
_atom_site_label
_atom_site_type_symbol
_atom_site_fract_x
_atom_site_fract_y
_atom_site_fract_z
_atom_site_occupancy
Te1 Te 0.0000 0.0000 0.0000 1
Pd1 Pd 0.5000 0.5000 0.0000 1
N1 N 0.0000 0.5000 0.5000 1
F1 F 0.0000 0.0000 0.5000 1
# Energy relative to the lowest polymorph listed for this composition, meV/atom: 941.1
# Formation energy without anion corrections, eV per formula unit: 9.51
# Crystal system: tetragonal


Record 7
# TePdN2F, optimized geometry, DFT PBE
data_TePdN2F
_cell_length_a 4.1012
_cell_length_b 4.1012
_cell_length_c 4.0369
_cell_angle_alpha 90.00
_cell_angle_beta 90.00
_cell_angle_gamma 90.00
_space_group_name_H-M_alt 'P 4/m m m'
_space_group_IT_number 123
_space_group_name_Hall '-P 4 2'
loop_
_atom_site_label
_atom_site_type_symbol
_atom_site_fract_x
_atom_site_fract_y
_atom_site_fract_z
_atom_site_occupancy
Te1 Te 0.0000 0.0000 0.0000 1
Pd1 Pd 0.5000 0.5000 0.5000 1
N1 N 0.0000 0.5000 0.5000 1
F1 F 0.5000 0.5000 0.0000 1
# Energy relative to the lowest polymorph listed for this composition, meV/atom: 0.0
# Formation energy without anion corrections, eV per formula unit: 4.80
# Crystal system: tetragonal


Record 8
# TiPdNF, optimized geometry, DFT PBE
data_TiPdNF
_cell_length_a 2.9179
_cell_length_b 2.9179
_cell_length_c 12.3395
_cell_angle_alpha 90.00
_cell_angle_beta 90.00
_cell_angle_gamma 90.00
_space_group_name_H-M_alt 'I 4 m m'
_space_group_IT_number 107
_space_group_name_Hall 'I 4 -2'
loop_
_atom_site_label
_atom_site_type_symbol
_atom_site_fract_x
_atom_site_fract_y
_atom_site_fract_z
_atom_site_occupancy
Ti1 Ti 0.0000 0.0000 0.0000 1
Pd1 Pd 0.0000 0.0000 0.3275 1
N1 N 0.0000 0.0000 0.4910 1
F1 F 0.0000 0.0000 0.1534 1
# Energy relative to the lowest polymorph listed for this composition, meV/atom: 0.0
# Formation energy without anion corrections, eV per formula unit: -5.95
# Crystal system: tetragonal


Record 9
# TiPdNF2, optimized geometry, DFT PBE
data_TiPdNF2
_cell_length_a 4.2031
_cell_length_b 4.2031
_cell_length_c 3.9441
_cell_angle_alpha 90.00
_cell_angle_beta 90.00
_cell_angle_gamma 90.00
_space_group_name_H-M_alt 'P 4/m m m'
_space_group_IT_number 123
_space_group_name_Hall '-P 4 2'
loop_
_atom_site_label
_atom_site_type_symbol
_atom_site_fract_x
_atom_site_fract_y
_atom_site_fract_z
_atom_site_occupancy
Ti1 Ti 0.0000 0.0000 0.0000 1
Pd1 Pd 0.5000 0.5000 0.5000 1
N1 N 0.5000 0.5000 0.0000 1
F1 F 0.0000 0.5000 0.5000 1
# Energy relative to the lowest polymorph listed for this composition, meV/atom: 1090.0
# Formation energy without anion corrections, eV per formula unit: -0.77
# Crystal system: tetragonal


Record 10
# TiPdNF2, optimized geometry, DFT PBE
data_TiPdNF2
_cell_length_a 3.9149
_cell_length_b 3.9149
_cell_length_c 4.0215
_cell_angle_alpha 90.00
_cell_angle_beta 90.00
_cell_angle_gamma 90.00
_space_group_name_H-M_alt 'P 4/m m m'
_space_group_IT_number 123
_space_group_name_Hall '-P 4 2'
loop_
_atom_site_label
_atom_site_type_symbol
_atom_site_fract_x
_atom_site_fract_y
_atom_site_fract_z
_atom_site_occupancy
Ti1 Ti 0.0000 0.0000 0.0000 1
Pd1 Pd 0.5000 0.5000 0.5000 1
N1 N 0.0000 0.0000 0.5000 1
F1 F 0.0000 0.5000 0.0000 1
# Energy relative to the lowest polymorph listed for this composition, meV/atom: 0.0
# Formation energy without anion corrections, eV per formula unit: -6.22
# Crystal system: tetragonal


Record 11
# TiPdN2F, optimized geometry, DFT PBE
data_TiPdN2F
_cell_length_a 3.9881
_cell_length_b 3.9881
_cell_length_c 3.8022
_cell_angle_alpha 90.00
_cell_angle_beta 90.00
_cell_angle_gamma 90.00
_space_group_name_H-M_alt 'P 4/m m m'
_space_group_IT_number 123
_space_group_name_Hall '-P 4 2'
loop_
_atom_site_label
_atom_site_type_symbol
_atom_site_fract_x
_atom_site_fract_y
_atom_site_fract_z
_atom_site_occupancy
Ti1 Ti 0.0000 0.0000 0.0000 1
Pd1 Pd 0.5000 0.5000 0.5000 1
N1 N 0.0000 0.5000 0.0000 1
F1 F 0.0000 0.0000 0.5000 1
# Energy relative to the lowest polymorph listed for this composition, meV/atom: 0.0
# Formation energy without anion corrections, eV per formula unit: -1.27
# Crystal system: tetragonal


Record 12
# TiPdNF, optimized geometry, DFT PBE
data_TiPdNF
_cell_length_a 3.1475
_cell_length_b 3.1725
_cell_length_c 6.4381
_cell_angle_alpha 101.26
_cell_angle_beta 90.53
_cell_angle_gamma 119.63
_space_group_name_H-M_alt 'P 1'
_space_group_IT_number 1
loop_
_space_group_symop_operation_xyz
'x,y,z'
loop_
_atom_site_label
_atom_site_type_symbol
_atom_site_fract_x
_atom_site_fract_y
_atom_site_fract_z
_atom_site_occupancy
Ti1 Ti 0.0000 0.0000 0.0000 1
Pd1 Pd 0.4787 0.9651 0.4093 1
N1 N 0.3591 0.7133 0.0947 1
F1 F 0.5981 0.2008 0.7759 1
# Energy relative to the lowest polymorph listed for this composition, meV/atom: 139.9
# Formation energy without anion corrections, eV per formula unit: -5.39
# Crystal system: triclinic


Record 13
# TiPdNF, optimized geometry, DFT PBE
data_TiPdNF
_cell_length_a 2.7624
_cell_length_b 2.9169
_cell_length_c 12.6041
_cell_angle_alpha 90.00
_cell_angle_beta 90.00
_cell_angle_gamma 90.00
_space_group_name_H-M_alt 'A m m 2'
_space_group_IT_number 38
loop_
_space_group_symop_operation_xyz
'x,y,z'
'-x,-y,z'
'-x,y,z'
'x,-y,z'
'x,y+1/2,z+1/2'
'-x,-y+1/2,z+1/2'
'-x,y+1/2,z+1/2'
'x,-y+1/2,z+1/2'
loop_
_atom_site_label
_atom_site_type_symbol
_atom_site_fract_x
_atom_site_fract_y
_atom_site_fract_z
_atom_site_occupancy
Ti1 Ti 0.0000 0.0000 0.0000 1
Pd1 Pd 0.5000 0.0000 0.3050 1
N1 N 0.5000 0.0000 0.4622 1
F1 F 0.5000 0.0000 0.1287 1
# Energy relative to the lowest polymorph listed for this composition, meV/atom: 93.3
# Formation energy without anion corrections, eV per formula unit: -5.57
# Crystal system: orthorhombic


Record 14
# TiPdNF, optimized geometry, DFT PBE
data_TiPdNF
_cell_length_a 5.5410
_cell_length_b 3.1888
_cell_length_c 6.0123
_cell_angle_alpha 90.00
_cell_angle_beta 90.11
_cell_angle_gamma 90.00
_space_group_name_H-M_alt 'C 1 m 1'
_space_group_IT_number 8
loop_
_space_group_symop_operation_xyz
'x,y,z'
'x,-y,z'
'x+1/2,y+1/2,z'
'x+1/2,-y+1/2,z'
loop_
_atom_site_label
_atom_site_type_symbol
_atom_site_fract_x
_atom_site_fract_y
_atom_site_fract_z
_atom_site_occupancy
Ti1 Ti 0.0000 0.0000 0.0000 1
Pd1 Pd 0.1702 0.5000 0.6533 1
N1 N 0.3323 0.0000 0.8952 1
F1 F 0.1652 0.5000 0.2231 1
# Energy relative to the lowest polymorph listed for this composition, meV/atom: 182.7
# Formation energy without anion corrections, eV per formula unit: -5.21
# Crystal system: monoclinic


Record 15
# TiPdN2F, optimized geometry, DFT PBE
data_TiPdN2F
_cell_length_a 3.9583
_cell_length_b 3.9583
_cell_length_c 3.9550
_cell_angle_alpha 90.00
_cell_angle_beta 90.00
_cell_angle_gamma 90.00
_space_group_name_H-M_alt 'P 4/m m m'
_space_group_IT_number 123
_space_group_name_Hall '-P 4 2'
loop_
_atom_site_label
_atom_site_type_symbol
_atom_site_fract_x
_atom_site_fract_y
_atom_site_fract_z
_atom_site_occupancy
Ti1 Ti 0.0000 0.0000 0.0000 1
Pd1 Pd 0.5000 0.5000 0.5000 1
N1 N 0.0000 0.5000 0.5000 1
F1 F 0.5000 0.5000 0.0000 1
# Energy relative to the lowest polymorph listed for this composition, meV/atom: 863.0
# Formation energy without anion corrections, eV per formula unit: 3.05
# Crystal system: tetragonal


Record 16
# TlPdN2F, optimized geometry, DFT PBE
data_TlPdN2F
_cell_length_a 3.8180
_cell_length_b 3.8180
_cell_length_c 5.9833
_cell_angle_alpha 90.00
_cell_angle_beta 90.00
_cell_angle_gamma 90.00
_space_group_name_H-M_alt 'P 4/m m m'
_space_group_IT_number 123
_space_group_name_Hall '-P 4 2'
loop_
_atom_site_label
_atom_site_type_symbol
_atom_site_fract_x
_atom_site_fract_y
_atom_site_fract_z
_atom_site_occupancy
Tl1 Tl 0.0000 0.0000 0.0000 1
Pd1 Pd 0.5000 0.5000 0.5000 1
N1 N 0.0000 0.5000 0.5000 1
F1 F 0.5000 0.5000 0.0000 1
# Energy relative to the lowest polymorph listed for this composition, meV/atom: 0.0
# Formation energy without anion corrections, eV per formula unit: 3.31
# Crystal system: tetragonal


Record 17
# TlPdN2F, optimized geometry, DFT PBE
data_TlPdN2F
_cell_length_a 4.3386
_cell_length_b 4.3386
_cell_length_c 4.5089
_cell_angle_alpha 90.00
_cell_angle_beta 90.00
_cell_angle_gamma 90.00
_space_group_name_H-M_alt 'P 4/m m m'
_space_group_IT_number 123
_space_group_name_Hall '-P 4 2'
loop_
_atom_site_label
_atom_site_type_symbol
_atom_site_fract_x
_atom_site_fract_y
_atom_site_fract_z
_atom_site_occupancy
Tl1 Tl 0.0000 0.0000 0.0000 1
Pd1 Pd 0.5000 0.5000 0.5000 1
N1 N 0.0000 0.5000 0.0000 1
F1 F 0.0000 0.0000 0.5000 1
# Energy relative to the lowest polymorph listed for this composition, meV/atom: 795.4
# Formation energy without anion corrections, eV per formula unit: 7.28
# Crystal system: tetragonal


Record 18
# TlPdNF2, optimized geometry, DFT PBE
data_TlPdNF2
_cell_length_a 4.7169
_cell_length_b 4.7169
_cell_length_c 3.6855
_cell_angle_alpha 90.00
_cell_angle_beta 90.00
_cell_angle_gamma 90.00
_space_group_name_H-M_alt 'P 4/m m m'
_space_group_IT_number 123
_space_group_name_Hall '-P 4 2'
loop_
_atom_site_label
_atom_site_type_symbol
_atom_site_fract_x
_atom_site_fract_y
_atom_site_fract_z
_atom_site_occupancy
Tl1 Tl 0.0000 0.0000 0.0000 1
Pd1 Pd 0.5000 0.5000 0.5000 1
N1 N 0.5000 0.5000 0.0000 1
F1 F 0.0000 0.5000 0.5000 1
# Energy relative to the lowest polymorph listed for this composition, meV/atom: 0.0
# Formation energy without anion corrections, eV per formula unit: -2.39
# Crystal system: tetragonal


Record 19
# TlPdNF2, optimized geometry, DFT PBE
data_TlPdNF2
_cell_length_a 4.5016
_cell_length_b 4.5016
_cell_length_c 4.3116
_cell_angle_alpha 90.00
_cell_angle_beta 90.00
_cell_angle_gamma 90.00
_space_group_name_H-M_alt 'P 4/m m m'
_space_group_IT_number 123
_space_group_name_Hall '-P 4 2'
loop_
_atom_site_label
_atom_site_type_symbol
_atom_site_fract_x
_atom_site_fract_y
_atom_site_fract_z
_atom_site_occupancy
Tl1 Tl 0.0000 0.0000 0.0000 1
Pd1 Pd 0.5000 0.5000 0.5000 1
N1 N 0.0000 0.0000 0.5000 1
F1 F 0.0000 0.5000 0.0000 1
# Energy relative to the lowest polymorph listed for this composition, meV/atom: 677.1
# Formation energy without anion corrections, eV per formula unit: 1.00
# Crystal system: tetragonal